[1]
An optimized crystal structure of Ga2HgGeBr8. Source: Alexandria, functional PBE-GGA.

Its formation energy without anion corrections is -654 meV/atom. The value obtained for the total energy is -2.6839 eV per atom.

The space group is C2/m (No. 12) and the conventional cell measures 11.378, 7.687 and 11.195 Å, with angles of 90.00, 104.96 and 90.00 degrees. Symmetry generates all atoms from Ga at (0.191, 0.000, 0.190), Hg at (0.000, 0.000, 0.500), Ge at (0.000, 0.500, 0.000), Br at (0.062, 0.248, 0.194), Br at (0.150, 0.500, 0.635) and Br at (0.247, 0.000, 0.999).


[2]
An optimized crystal structure of BeOs2Pt. Source: Alexandria, functional PBE-GGA.

The value obtained for the total energy is -7.8149 eV per atom.

The space group is Cmm2 (No. 35) and the conventional cell measures 2.758, 4.645 and 8.587 Å, with angles of 90.00, 90.00 and 90.00 degrees. Symmetry generates all atoms from Be at (0.000, 0.000, 0.000), Os at (0.000, 0.000, 0.491), Os at (0.000, 0.500, 0.227) and Pt at (0.000, 0.500, 0.784).


Number 1: Fermi-level density of states 0.0 states/eV per cell. Number 2: Fermi-level density of states 9.0 states/eV per cell.